Record 1
Here is a relaxed structure of MgV2PbO6 from Alexandria. Energies are from PBE+U.

Its calculated total energy is -6.9401 eV per atom. Its total magnetization is 2.0 μB/f.u.

The structure belongs to space group C2/c (No. 15); the cell edges are 9.113, 11.553 and 6.408 Å and the angles 90.00°, 115.24° and 90.00°. Symmetry generates all atoms from Mg at (0.000, 0.195, 0.250), V at (0.132, 0.421, 0.661), Pb at (0.000, 0.088, 0.750), O at (0.100, 0.285, 0.540), O at (0.114, 0.457, 0.950) and O at (0.135, 0.074, 0.191).

***

Record 2
Here is a relaxed structure of MgVPb2O6 from Alexandria. Energies are from PBE+U.

Its calculated total energy is -6.2388 eV per atom. Its total magnetization is 0.0 μB/f.u.

The structure belongs to space group P2_1/c (No. 14); the cell edges are 5.557, 5.625 and 9.644 Å and the angles 90.00°, 125.11° and 90.00°. Symmetry generates all atoms from Mg at (0.000, 0.000, 0.000), V at (0.500, 0.000, 0.500), Pb at (0.256, 0.036, 0.750), O at (0.189, 0.019, 0.263), O at (0.262, 0.700, 0.037) and O at (0.342, 0.225, 0.039).